# Na2VGaF8

Na2VGaF8 after structural relaxation (PBE with a Hubbard U, Alexandria via LeMat-Bulk).

**VASP energy**: -5.121 eV/atom
**Space group**: P2/m (10)

The structure in CIF format:
```
data_Na2VGaF8
_chemical_formula_sum 'Na2 V1 Ga1 F8'
_cell_length_a 5.054
_cell_length_b 5.044
_cell_length_c 6.330
_cell_angle_alpha 90.00
_cell_angle_beta 90.00
_cell_angle_gamma 92.74
_symmetry_space_group_name_H-M 'P 1'
_symmetry_Int_Tables_number 1
loop_
_symmetry_equiv_pos_as_xyz
'x,y,z'
loop_
_atom_site_label
_atom_site_fract_x
_atom_site_fract_y
_atom_site_fract_z
_atom_site_occupancy
F1 0.275 0.273 0.500 1
Na1 0.500 0.500 0.753 1
Na2 0.500 0.500 0.247 1
F2 0.266 0.264 0.000 1
V1 0.000 0.000 0.500 1
Ga1 0.000 0.000 0.000 1
F3 0.734 0.736 0.000 1
F4 0.172 0.826 0.755 1
F5 0.828 0.174 0.755 1
F6 0.725 0.727 0.500 1
F7 0.172 0.826 0.245 1
F8 0.828 0.174 0.245 1
```